1.
Computed, not measured: FeSeS2 at its PBEsol-relaxed geometry at the meta-GGA SCAN level of DFT.

a = 5.922 Å, b = 5.922 Å, c = 8.155 Å
α = 90.00°, β = 90.00°, γ = 90.00°
Space group I-42d (No. 122)
Asymmetric unit:
1 Fe 0.000 0.000 0.000 (multiplicity 4)
2 Se 0.000 0.000 0.500 (multiplicity 4)
3 S 0.174 0.750 0.125 (multiplicity 8)

* final energy: -1.0414 Ry/atom
* spin magnetization: 0.00 μB per formula unit
* ΔE_f (raw): 76 kJ/mol of formula units

=====

2.
Computed, not measured: Fe3Se4S2 at its PBEsol-relaxed geometry at the meta-GGA SCAN level of DFT.

a = 7.344 Å, b = 3.477 Å, c = 10.656 Å
α = 90.00°, β = 99.08°, γ = 90.00°
Space group Pm (No. 6)
Asymmetric unit:
1 Fe 0.000 0.000 0.000 (multiplicity 1)
2 Fe 0.163 0.500 0.321 (multiplicity 1)
3 Fe 0.335 0.000 0.666 (multiplicity 1)
4 Fe 0.502 0.500 0.994 (multiplicity 1)
5 Fe 0.667 0.000 0.325 (multiplicity 1)
6 Fe 0.831 0.500 0.654 (multiplicity 1)
7 Se 0.011 0.500 0.855 (multiplicity 1)
8 Se 0.018 0.000 0.608 (multiplicity 1)
9 Se 0.318 0.000 0.043 (multiplicity 1)
10 Se 0.344 0.500 0.521 (multiplicity 1)
11 Se 0.350 0.000 0.275 (multiplicity 1)
12 Se 0.652 0.000 0.709 (multiplicity 1)
13 Se 0.685 0.000 0.946 (multiplicity 1)
14 Se 0.983 0.000 0.372 (multiplicity 1)
15 S 0.331 0.500 0.800 (multiplicity 1)
16 S 0.664 0.500 0.461 (multiplicity 1)
17 S 0.674 0.500 0.188 (multiplicity 1)
18 S 0.992 0.500 0.132 (multiplicity 1)

* final energy: -1.2878 Ry/atom
* spin magnetization: 0.00 μB per formula unit
* ΔE_f (raw): -360 kJ/mol of formula units

=====

3.
Computed, not measured: Fe2SnS2 at its PBEsol-relaxed geometry at the meta-GGA SCAN level of DFT.

a = 4.160 Å, b = 4.160 Å, c = 8.458 Å
α = 90.00°, β = 90.00°, γ = 90.00°
Space group I4/mmm (No. 139)
Asymmetric unit:
1 Fe 0.000 0.000 0.138 (multiplicity 4)
2 Sn 0.000 0.000 0.500 (multiplicity 2)
3 S 0.000 0.500 0.250 (multiplicity 4)

* final energy: -1.3248 Ry/atom
* spin magnetization: 5.13 μB per formula unit
* ΔE_f (raw): 127 kJ/mol of formula units

=====

4.
Computed, not measured: SrFeS2 at its PBEsol-relaxed geometry at the meta-GGA SCAN level of DFT.

a = 6.738 Å, b = 6.738 Å, c = 6.742 Å
α = 90.00°, β = 90.00°, γ = 90.00°
Space group I-42d (No. 122)
Asymmetric unit:
1 Sr 0.000 0.000 0.000 (multiplicity 4)
2 Fe 0.000 0.000 0.500 (multiplicity 4)
3 S 0.143 0.250 0.625 (multiplicity 8)

* final energy: -1.1770 Ry/atom
* spin magnetization: 0.00 μB per formula unit
* ΔE_f (raw): -424 kJ/mol of formula units

=====

5.
Computed, not measured: SrZnFeS2 at its PBEsol-relaxed geometry at the meta-GGA SCAN level of DFT.

a = 5.400 Å, b = 5.400 Å, c = 5.405 Å
α = 90.00°, β = 90.00°, γ = 90.00°
Space group P4/mmm (No. 123)
Asymmetric unit:
1 Sr 0.000 0.000 0.000 (multiplicity 1)
2 Zn 0.000 0.000 0.500 (multiplicity 1)
3 Fe 0.500 0.500 0.500 (multiplicity 1)
4 S 0.000 0.500 0.000 (multiplicity 2)

* final energy: -1.0254 Ry/atom
* spin magnetization: 2.86 μB per formula unit
* ΔE_f (raw): 330 kJ/mol of formula units

=====

6.
Computed, not measured: Ta4FeS8 at its PBEsol-relaxed geometry at the meta-GGA SCAN level of DFT.

a = 6.5325 Å, b = 6.5325 Å, c = 11.4943 Å
α = 90.00°, β = 90.00°, γ = 120.00°
Space group P6_3/mmc (No. 194)
Asymmetric unit:
1 Ta 0.0000 0.0000 0.2500 (multiplicity 2)
2 Ta 0.0119 0.5059 0.2500 (multiplicity 6)
3 Fe 0.0000 0.0000 0.0000 (multiplicity 2)
4 S 0.1653 0.3306 0.6138 (multiplicity 12)
5 S 0.3333 0.6667 0.1095 (multiplicity 4)

* final energy: -2.1249 Ry/atom
* spin magnetization: 0.00 μB per formula unit
* ΔE_f (raw): -1385 kJ/mol of formula units

=====

7.
Computed, not measured: Fe2TeS2 at its PBEsol-relaxed geometry at the meta-GGA SCAN level of DFT.

a = 3.403 Å, b = 3.403 Å, c = 16.948 Å
α = 90.00°, β = 90.00°, γ = 90.00°
Space group I4/mmm (No. 139)
Asymmetric unit:
1 Fe 0.000 0.500 0.250 (multiplicity 4)
2 Te 0.000 0.000 0.000 (multiplicity 2)
3 S 0.000 0.000 0.326 (multiplicity 4)

* final energy: -1.3752 Ry/atom
* spin magnetization: 0.00 μB per formula unit
* ΔE_f (raw): -76 kJ/mol of formula units

=====

8.
Computed, not measured: TiFeTeS2 at its PBEsol-relaxed geometry at the meta-GGA SCAN level of DFT.

a = 4.499 Å, b = 4.499 Å, c = 5.089 Å
α = 90.00°, β = 90.00°, γ = 90.00°
Space group P4/mmm (No. 123)
Asymmetric unit:
1 Ti 0.000 0.000 0.000 (multiplicity 1)
2 Fe 0.000 0.000 0.500 (multiplicity 1)
3 Te 0.500 0.500 0.500 (multiplicity 1)
4 S 0.000 0.500 0.000 (multiplicity 2)

* final energy: -1.3194 Ry/atom
* spin magnetization: 3.03 μB per formula unit
* ΔE_f (raw): 88 kJ/mol of formula units

=====

9.
Computed, not measured: Ti3FeS6 at its PBEsol-relaxed geometry at the meta-GGA SCAN level of DFT.

a = 5.7130 Å, b = 5.7130 Å, c = 16.4058 Å
α = 90.00°, β = 90.00°, γ = 120.00°
Space group R-3 (No. 148, hexagonal axes)
Asymmetric unit:
1 Ti 0.0000 0.0000 0.0000 (multiplicity 3)
2 Ti 0.0000 0.0000 0.3300 (multiplicity 6)
3 Fe 0.0000 0.0000 0.5000 (multiplicity 3)
4 S 0.0023 0.6720 0.5764 (multiplicity 18)

* final energy: -1.0098 Ry/atom
* spin magnetization: 0.00 μB per formula unit
* ΔE_f (raw): -1293 kJ/mol of formula units

=====

10.
Computed, not measured: TlFe2S2 at its PBEsol-relaxed geometry at the meta-GGA SCAN level of DFT.

a = 3.628 Å, b = 3.628 Å, c = 12.638 Å
α = 90.00°, β = 90.00°, γ = 90.00°
Space group I4/mmm (No. 139)
Asymmetric unit:
1 Tl 0.000 0.000 0.000 (multiplicity 2)
2 Fe 0.000 0.500 0.250 (multiplicity 4)
3 S 0.000 0.000 0.341 (multiplicity 4)

* final energy: -1.9022 Ry/atom
* spin magnetization: 0.00 μB per formula unit
* ΔE_f (raw): -148 kJ/mol of formula units

=====

11.
Computed, not measured: TlFe2S3 at its PBEsol-relaxed geometry at the meta-GGA SCAN level of DFT.

a = 8.807 Å, b = 10.131 Å, c = 5.050 Å
α = 90.00°, β = 90.00°, γ = 90.00°
Space group Cmcm (No. 63)
Asymmetric unit:
1 Tl 0.000 0.142 0.250 (multiplicity 4)
2 Fe 0.141 0.500 0.000 (multiplicity 8)
3 S 0.000 0.381 0.750 (multiplicity 4)
4 S 0.225 0.117 0.750 (multiplicity 8)

* final energy: -1.7096 Ry/atom
* spin magnetization: 0.00 μB per formula unit
* ΔE_f (raw): -198 kJ/mol of formula units

=====

12.
Computed, not measured: VFe2S4 at its PBEsol-relaxed geometry at the meta-GGA SCAN level of DFT.

a = 11.385 Å, b = 3.187 Å, c = 5.577 Å
α = 90.00°, β = 114.99°, γ = 90.00°
Space group Cm (No. 8)
Asymmetric unit:
1 V 0.000 0.000 0.000 (multiplicity 2)
2 Fe 0.030 0.500 0.635 (multiplicity 2)
3 Fe 0.252 0.000 0.314 (multiplicity 2)
4 S 0.128 0.500 0.344 (multiplicity 2)
5 S 0.159 0.000 0.871 (multiplicity 2)
6 S 0.365 0.000 0.744 (multiplicity 2)
7 S 0.403 0.500 0.308 (multiplicity 2)

* final energy: -1.0201 Ry/atom
* spin magnetization: 1.01 μB per formula unit
* ΔE_f (raw): -472 kJ/mol of formula units

=====

13.
Computed, not measured: Fe3WS at its PBEsol-relaxed geometry at the meta-GGA SCAN level of DFT.

a = 4.017 Å, b = 4.017 Å, c = 4.017 Å
α = 90.00°, β = 90.00°, γ = 90.00°
Space group Pm-3m (No. 221)
Asymmetric unit:
1 Fe 0.000 0.000 0.500 (multiplicity 3)
2 W 0.500 0.500 0.500 (multiplicity 1)
3 S 0.000 0.000 0.000 (multiplicity 1)

* final energy: -1.9142 Ry/atom
* spin magnetization: 5.99 μB per formula unit
* ΔE_f (raw): 336 kJ/mol of formula units